The following is a PBE calculation of crystalline U2Ge4Mo3 at its relaxed geometry, from OQMD via LeMat-Bulk.

abc: 6.9988 7.0208 6.9357
angles: 90.00 110.17 90.00
Space group P2_1/c (No. 14)
One atom of each set of equivalent atoms:
U  0.1831  0.1630  0.0498 x4
Ge  0.0956  0.5473  0.8657 x4
Ge  0.4970  0.6407  0.6382 x4
Mo  0.2435  0.6562  0.2546 x4
Mo  0.5000  0.0000  0.5000 x2

Calculated values
Magnetic moment ... 8.20 μB per cell
Uncorrected energy ... -75.8 eV/f.u.